A plane-wave DFT calculation with PBE-GGA was carried out for crystalline TaTlC2 at its relaxed geometry.

The structure in POSCAR format:
```
TaTlC2
1.0
0.000 2.953 2.953
2.953 0.000 2.953
2.953 2.953 0.000
Ta Tl C
1 1 2
Direct
0.000 0.000 0.000
0.500 0.500 0.500
0.250 0.250 0.250
0.750 0.750 0.750
```

Calculated values
Energy of formation from the pure elements, eV/atom: 2.026
E above lowest polymorph, meV/atom: 1249



A plane-wave DFT calculation with PBE-GGA was carried out for crystalline SrAs2Se at its relaxed geometry.

The structure in POSCAR format:
```
SrAs2Se
1.0
6.177 -2.001 0.000
6.177 2.001 0.000
-1.214 0.000 4.454
Sr As Se
1 2 1
Direct
0.000 0.000 0.000
0.269 0.269 0.182
0.731 0.731 0.818
0.500 0.500 0.500
```

Calculated values
E_form (uncorrected), meV per atom: -755



A plane-wave DFT calculation with PBE-GGA was carried out for crystalline LiSn3P at its relaxed geometry.

The structure in POSCAR format:
```
LiSn3P
1.0
4.938 0.000 0.000
0.000 4.938 0.000
0.000 0.000 4.938
Li Sn P
1 3 1
Direct
0.000 0.000 0.000
0.000 0.000 0.500
0.000 0.500 0.000
0.500 0.000 0.000
0.500 0.500 0.500
```

Calculated values
Energy of formation from the pure elements, eV/atom: 0.443
E above lowest polymorph, meV/atom: 109



A plane-wave DFT calculation with PBE-GGA was carried out for crystalline BePd2Pb at its relaxed geometry.

The structure in POSCAR format:
```
BePd2Pb
1.0
0.000 3.202 3.202
3.202 0.000 3.202
3.202 3.202 0.000
Be Pd Pb
1 2 1
Direct
0.000 0.000 0.000
0.250 0.250 0.250
0.750 0.750 0.750
0.500 0.500 0.500
```

Calculated values
Energy of formation from the pure elements, eV/atom: -0.062
E above lowest polymorph, meV/atom: 180



A plane-wave DFT calculation with PBE-GGA was carried out for crystalline Pm3Nd3Ga4 at its relaxed geometry.

The structure in POSCAR format:
```
Pm3Nd3Ga4
1.0
4.522 0.000 0.000
0.000 5.524 5.543
0.000 -5.524 5.543
Pm Nd Ga
3 3 4
Direct
0.000 0.000 0.000
0.000 0.501 0.849
0.000 0.849 0.501
0.000 0.348 0.348
0.500 0.175 0.674
0.500 0.674 0.175
0.500 0.056 0.291
0.500 0.291 0.056
0.500 0.559 0.559
0.500 0.792 0.792
```

Calculated values
Energy of formation from the pure elements, eV/atom: -0.479



A plane-wave DFT calculation with PBE-GGA was carried out for crystalline PmSm2Y5Sc at its relaxed geometry.

The structure in POSCAR format:
```
PmSm2Y5Sc
1.0
2.801 -9.976 0.000
2.801 9.976 0.000
0.000 0.000 10.443
Pm Sm Y Sc
2 4 10 2
Direct
0.089 0.911 0.500
0.911 0.089 0.000
0.385 0.615 0.782
0.389 0.611 0.362
0.611 0.389 0.862
0.615 0.385 0.282
0.019 0.981 0.786
0.129 0.871 0.068
0.203 0.797 0.749
0.226 0.774 0.377
0.483 0.517 0.065
0.517 0.483 0.565
0.774 0.226 0.877
0.797 0.203 0.249
0.871 0.129 0.568
0.981 0.019 0.286
0.307 0.693 0.063
0.693 0.307 0.563
```

Calculated values
Energy of formation from the pure elements, eV/atom: 0.158



A plane-wave DFT calculation with PBE-GGA was carried out for crystalline AsSe2BrF at its relaxed geometry.

The structure in POSCAR format:
```
AsSe2BrF
1.0
5.126 0.000 0.000
0.000 5.126 0.000
0.000 0.000 5.181
As Se Br F
1 2 1 1
Direct
0.000 0.000 0.000
0.000 0.500 0.000
0.500 0.000 0.000
0.000 0.000 0.500
0.500 0.500 0.500
```

Calculated values
E above lowest polymorph, meV/atom: 0
E_form (uncorrected), meV per atom: 331



A plane-wave DFT calculation with PBE-GGA was carried out for crystalline TlNiIr2Rh at its relaxed geometry.

The structure in POSCAR format:
```
TlNiIr2Rh
1.0
4.484 0.000 0.000
0.000 4.484 0.000
0.000 0.000 4.716
Tl Ni Ir Rh
1 1 2 1
Direct
0.000 0.000 0.000
0.000 0.000 0.500
0.000 0.500 0.500
0.500 0.000 0.500
0.500 0.500 0.000
```

Calculated values
Energy of formation from the pure elements, eV/atom: 1.369



A plane-wave DFT calculation with PBE-GGA was carried out for crystalline BaPmBeO4 at its relaxed geometry.

The structure in POSCAR format:
```
BaPmBeO4
1.0
5.625 0.000 0.000
0.000 5.012 0.000
-2.200 0.000 7.122
Ba Pm Be O
2 2 2 8
Direct
0.217 0.250 0.431
0.783 0.750 0.569
0.257 0.250 0.946
0.743 0.750 0.054
0.266 0.750 0.181
0.734 0.250 0.819
0.090 0.750 0.320
0.110 0.750 0.958
0.485 0.513 0.222
0.485 0.987 0.222
0.515 0.013 0.778
0.515 0.487 0.778
0.890 0.250 0.042
0.910 0.250 0.680
```

Calculated values
E_form (uncorrected), meV per atom: -2644



A plane-wave DFT calculation with PBE-GGA was carried out for crystalline Ba4YCu3O9 at its relaxed geometry.

The structure in POSCAR format:
```
Ba4YCu3O9
1.0
8.166 0.000 0.000
0.000 8.166 0.000
0.000 0.000 8.166
Ba Y Cu O
8 2 6 18
Direct
0.250 0.250 0.250
0.250 0.250 0.750
0.250 0.750 0.250
0.250 0.750 0.750
0.750 0.250 0.250
0.750 0.250 0.750
0.750 0.750 0.250
0.750 0.750 0.750
0.000 0.000 0.000
0.500 0.500 0.500
0.000 0.000 0.500
0.000 0.500 0.000
0.000 0.500 0.500
0.500 0.000 0.000
0.500 0.000 0.500
0.500 0.500 0.000
0.000 0.000 0.273
0.000 0.000 0.727
0.000 0.250 0.500
0.000 0.273 0.000
0.000 0.727 0.000
0.000 0.750 0.500
0.227 0.500 0.500
0.250 0.500 0.000
0.273 0.000 0.000
0.500 0.000 0.250
0.500 0.000 0.750
0.500 0.227 0.500
0.500 0.500 0.227
0.500 0.500 0.773
0.500 0.773 0.500
0.727 0.000 0.000
0.750 0.500 0.000
0.773 0.500 0.500
```

Calculated values
E_form (uncorrected), meV per atom: -2008



A plane-wave DFT calculation with PBE-GGA was carried out for crystalline ScAg at its relaxed geometry.

The structure in POSCAR format:
```
ScAg
1.0
5.167 -1.879 0.000
5.167 1.879 0.000
-2.225 0.000 6.298
Sc Ag
3 3
Direct
0.000 0.000 0.000
0.031 0.031 0.525
0.329 0.329 0.197
0.344 0.344 0.664
0.664 0.664 0.333
0.685 0.685 0.857
```

Calculated values
Energy of formation from the pure elements, eV/atom: -0.155



A plane-wave DFT calculation with PBE-GGA was carried out for crystalline MgMnCo2 at its relaxed geometry.

The structure in POSCAR format:
```
MgMnCo2
1.0
2.863 0.000 0.000
0.000 2.863 0.000
0.000 0.000 6.098
Mg Mn Co
1 1 2
Direct
0.000 0.000 0.000
0.000 0.000 0.500
0.500 0.500 0.286
0.500 0.500 0.714
```

Calculated values
Energy of formation from the pure elements, eV/atom: 0.063